## LaSm2WO8 (GGA+U)

Data for LaSm2WO8 after structural relaxation.

The structure belongs to space group Cmmm (No. 65); the cell edges are 7.236, 7.319 and 7.144 Å and the angles 90.00°, 90.00° and 90.00°. The inequivalent atoms are La at (0.000, 0.000, 0.000), Sm at (0.000, 0.500, 0.258), W at (0.000, 0.000, 0.500), O at (0.000, 0.181, 0.298), O at (0.186, 0.500, 0.000) and O at (0.229, 0.500, 0.500).

The total energy comes out at -7.89 eV per atom. The value obtained for the magnetization is 0.87 μB per formula unit.